A plane-wave DFT calculation with PBE was carried out for Ca2AcMg after structural relaxation.

* VASP energy: -2.38 eV/atom
* energy relative to the elements: 51 meV per atom

Cell: 3.8785 3.8785 12.0035 Å, 80.70 80.70 60.00°
Closest atoms and distances in Å follow each position.
Element x y z (fractional)
1 Ca 0.2586 0.2586 0.2242  3 Mg 3.46
2 Ca 0.0747 0.0747 0.7760  3 Mg 3.47, 6 Ca 3.88
3 Mg 0.6664 0.6664 0.0008  6 Ca 3.46-3.47
4 Ac 0.5003 0.5003 0.4990  6 Ac 3.88, 6 Ca 3.94-3.96

=====

A plane-wave DFT calculation with PBE was carried out for V6Ge5 after structural relaxation.

* VASP energy: -7.02 eV/atom
* energy relative to the elements: 54 meV per atom

Cell: 6.4051 5.6541 5.9917 Å, 79.77 71.73 55.50°
Closest atoms and distances in Å follow each position.
Element x y z (fractional)
1 Ge 0.7778 0.4443 0.5000  6 V 2.55-2.69, 1 Ge 2.59
2 Ge 0.6345 0.7309 0.0000  1 Ge 2.51, 6 V 2.55-2.64
3 Ge 0.2222 0.5557 0.5000  6 V 2.55-2.69, 1 Ge 2.59
4 Ge 0.5000 0.0000 0.5000  2 Ge 2.59, 4 V 2.62
5 Ge 0.3655 0.2691 0.0000  1 Ge 2.51, 6 V 2.55-2.64
6 V 0.3077 0.7374 0.8140  3 V 2.45-2.63, 5 Ge 2.55-2.69
7 V 0.9549 0.7374 0.1860  3 V 2.45-2.63, 5 Ge 2.55-2.69
8 V 0.0451 0.2626 0.8140  3 V 2.45-2.63, 5 Ge 2.55-2.69
9 V 0.1430 0.0000 0.2498  2 V 2.51, 4 Ge 2.55-2.63
10 V 0.8570 0.0000 0.7502  2 V 2.51, 4 Ge 2.55-2.63
11 V 0.6923 0.2626 0.1860  3 V 2.45-2.63, 5 Ge 2.55-2.69

=====

A plane-wave DFT calculation with PBE was carried out for ZrSnAs2Se after structural relaxation.

* VASP energy: -5.11 eV/atom
* uncorrected formation energy: -0.05 eV per atom

Cell: 5.2348 5.2348 5.1600 Å, 90.00 90.00 90.00°
Closest atoms and distances in Å follow each position.
Element x y z (fractional)
1 Zr 0.0000 0.0000 0.0000  2 Se 2.58, 4 As 2.62
2 As 0.0000 0.5000 0.0000  2 Zr 2.62
3 As 0.5000 0.0000 0.0000  2 Zr 2.62
4 Se 0.0000 0.0000 0.5000  2 Zr 2.58
5 Sn 0.5000 0.5000 0.5000  8 As 3.68, 4 Se 3.70